1.
# Sc2TaTe

A relaxed Sc2TaTe crystal (PBE-GGA, Alexandria via LeMat-Bulk).

The structure in CIF format:
```
data_Sc2TaTe
_cell_length_a 3.3661
_cell_length_b 3.3661
_cell_length_c 27.5427
_cell_angle_alpha 90.00
_cell_angle_beta 90.00
_cell_angle_gamma 120.00
_space_group_name_H-M_alt 'R -3 m'
_space_group_IT_number 166
_space_group_name_Hall '-R 3 2"'
loop_
_atom_site_label
_atom_site_fract_x
_atom_site_fract_y
_atom_site_fract_z
_atom_site_occupancy
Sc1 0.0000 0.0000 0.2503 1
Ta1 0.0000 0.0000 0.5000 1
Te1 0.0000 0.0000 0.0000 1
```

V (Å³ per cell): 270.3
Raw formation energy (meV per atom): -133.1

---

2.
# YSbMoI2

A relaxed YSbMoI2 crystal (PBE-GGA, Alexandria via LeMat-Bulk).

The structure in CIF format:
```
data_YSbMoI2
_cell_length_a 5.835
_cell_length_b 5.835
_cell_length_c 6.184
_cell_angle_alpha 90.00
_cell_angle_beta 90.00
_cell_angle_gamma 90.00
_space_group_name_H-M_alt 'P 4/m m m'
_space_group_IT_number 123
_space_group_name_Hall '-P 4 2'
loop_
_atom_site_label
_atom_site_fract_x
_atom_site_fract_y
_atom_site_fract_z
_atom_site_occupancy
Y1 0.000 0.000 0.000 1
Sb1 0.000 0.000 0.500 1
Mo1 0.500 0.500 0.500 1
I1 0.000 0.500 0.000 1
```

V (Å³ per cell): 210.5
Raw formation energy (meV per atom): 531.8

---

3.
# Ta2MoAs

A relaxed Ta2MoAs crystal (PBE-GGA, Alexandria via LeMat-Bulk).

The structure in CIF format:
```
data_Ta2MoAs
_cell_length_a 3.370
_cell_length_b 4.808
_cell_length_c 8.431
_cell_angle_alpha 90.00
_cell_angle_beta 90.00
_cell_angle_gamma 90.00
_space_group_name_H-M_alt 'C m m m'
_space_group_IT_number 65
_space_group_name_Hall '-C 2 2'
loop_
_atom_site_label
_atom_site_fract_x
_atom_site_fract_y
_atom_site_fract_z
_atom_site_occupancy
Ta1 0.000 0.000 0.244 1
Mo1 0.000 0.500 0.500 1
As1 0.000 0.500 0.000 1
```

Energy of formation (eV per atom): -0.112
V (Å³ per cell): 136.6

---

4.
# PmNd2Ge2

A relaxed PmNd2Ge2 crystal (PBE-GGA, Alexandria via LeMat-Bulk).

The structure in CIF format:
```
data_PmNd2Ge2
_cell_length_a 12.603
_cell_length_b 4.494
_cell_length_c 10.848
_cell_angle_alpha 90.00
_cell_angle_beta 116.54
_cell_angle_gamma 90.00
_space_group_name_H-M_alt 'C 1 2/m 1'
_space_group_IT_number 12
_space_group_name_Hall '-C 2y'
loop_
_atom_site_label
_atom_site_fract_x
_atom_site_fract_y
_atom_site_fract_z
_atom_site_occupancy
Pm1 0.218 0.000 0.357 1
Nd1 0.015 0.500 0.686 1
Nd2 0.181 0.500 0.087 1
Ge1 0.028 0.000 0.896 1
Ge2 0.114 0.000 0.562 1
```

Energy of formation (eV per atom): -0.664
V (Å³ per cell): 549.6

---

5.
# Cs2TiAlSe4

A relaxed Cs2TiAlSe4 crystal (PBE-GGA, Alexandria via LeMat-Bulk).

The structure in CIF format:
```
data_Cs2TiAlSe4
_cell_length_a 6.191
_cell_length_b 14.665
_cell_length_c 26.047
_cell_angle_alpha 90.00
_cell_angle_beta 90.00
_cell_angle_gamma 90.00
_space_group_name_H-M_alt 'F d d d'
_space_group_IT_number 70
loop_
_space_group_symop_operation_xyz
'x,y,z'
'-x,-y,-z'
'-x+1/4,-y+1/4,z'
'x+1/4,y+1/4,-z'
'x,-y+1/4,-z+1/4'
'-x,y+1/4,z+1/4'
'-x+1/4,y,-z+1/4'
'x+1/4,-y,z+1/4'
'x,y+1/2,z+1/2'
'-x,-y+1/2,-z+1/2'
'-x+1/4,-y+3/4,z+1/2'
'x+1/4,y+3/4,-z+1/2'
'x,-y+3/4,-z+3/4'
'-x,y+3/4,z+3/4'
'-x+1/4,y+1/2,-z+3/4'
'x+1/4,-y+1/2,z+3/4'
'x+1/2,y,z+1/2'
'-x+1/2,-y,-z+1/2'
'-x+3/4,-y+1/4,z+1/2'
'x+3/4,y+1/4,-z+1/2'
'x+1/2,-y+1/4,-z+3/4'
'-x+1/2,y+1/4,z+3/4'
'-x+3/4,y,-z+3/4'
'x+3/4,-y,z+3/4'
'x+1/2,y+1/2,z'
'-x+1/2,-y+1/2,-z'
'-x+3/4,-y+3/4,z'
'x+3/4,y+3/4,-z'
'x+1/2,-y+3/4,-z+1/4'
'-x+1/2,y+3/4,z+1/4'
'-x+3/4,y+1/2,-z+1/4'
'x+3/4,-y+1/2,z+1/4'
loop_
_atom_site_label
_atom_site_fract_x
_atom_site_fract_y
_atom_site_fract_z
_atom_site_occupancy
Cs1 0.125 0.125 0.303 1
Ti1 0.125 0.125 0.125 1
Al1 0.125 0.125 0.625 1
Se1 0.118 0.282 0.824 1
```

V (Å³ per cell): 2365.0
Raw formation energy (meV per atom): -1169.7

---

6.
# Pm3PdPb2

A relaxed Pm3PdPb2 crystal (PBE-GGA, Alexandria via LeMat-Bulk).

The structure in CIF format:
```
data_Pm3PdPb2
_cell_length_a 12.619
_cell_length_b 4.627
_cell_length_c 12.020
_cell_angle_alpha 90.00
_cell_angle_beta 90.00
_cell_angle_gamma 90.00
_space_group_name_H-M_alt 'P n m a'
_space_group_IT_number 62
_space_group_name_Hall '-P 2ac 2n'
loop_
_atom_site_label
_atom_site_fract_x
_atom_site_fract_y
_atom_site_fract_z
_atom_site_occupancy
Pm1 0.053 0.250 0.132 1
Pm2 0.125 0.750 0.554 1
Pm3 0.233 0.250 0.801 1
Pd1 0.124 0.250 0.374 1
Pb1 0.000 0.250 0.690 1
Pb2 0.184 0.750 0.004 1
```

Energy of formation (eV per atom): -0.637
V (Å³ per cell): 701.7

---

7.
# AlRe2Ni

A relaxed AlRe2Ni crystal (PBE-GGA, Alexandria via LeMat-Bulk).

The structure in CIF format:
```
data_AlRe2Ni
_cell_length_a 3.680
_cell_length_b 3.680
_cell_length_c 4.113
_cell_angle_alpha 90.00
_cell_angle_beta 90.00
_cell_angle_gamma 90.00
_space_group_name_H-M_alt 'P 4/m m m'
_space_group_IT_number 123
_space_group_name_Hall '-P 4 2'
loop_
_atom_site_label
_atom_site_fract_x
_atom_site_fract_y
_atom_site_fract_z
_atom_site_occupancy
Al1 0.000 0.000 0.000 1
Re1 0.000 0.500 0.500 1
Ni1 0.500 0.500 0.000 1
```

Energy of formation (eV per atom): 0.008
V (Å³ per cell): 55.7

---

8.
# CdCoBr2

A relaxed CdCoBr2 crystal (PBE-GGA, Alexandria via LeMat-Bulk).

The structure in CIF format:
```
data_CdCoBr2
_cell_length_a 3.914
_cell_length_b 3.914
_cell_length_c 13.379
_cell_angle_alpha 90.00
_cell_angle_beta 90.00
_cell_angle_gamma 90.00
_space_group_name_H-M_alt 'I -4 m 2'
_space_group_IT_number 119
_space_group_name_Hall 'I -4 -2'
loop_
_atom_site_label
_atom_site_fract_x
_atom_site_fract_y
_atom_site_fract_z
_atom_site_occupancy
Cd1 0.000 0.000 0.000 1
Co1 0.000 0.500 0.750 1
Br1 0.000 0.000 0.500 1
Br2 0.000 0.500 0.250 1
```

V (Å³ per cell): 204.9
Raw formation energy (meV per atom): 320.8

---

9.
# Ca2Te4Mo

A relaxed Ca2Te4Mo crystal (PBE-GGA, Alexandria via LeMat-Bulk).

The structure in CIF format:
```
data_Ca2Te4Mo
_cell_length_a 5.454
_cell_length_b 5.454
_cell_length_c 15.537
_cell_angle_alpha 90.00
_cell_angle_beta 90.00
_cell_angle_gamma 90.00
_space_group_name_H-M_alt 'I 4/m m m'
_space_group_IT_number 139
_space_group_name_Hall '-I 4 2'
loop_
_atom_site_label
_atom_site_fract_x
_atom_site_fract_y
_atom_site_fract_z
_atom_site_occupancy
Ca1 0.000 0.000 0.127 1
Te1 0.000 0.000 0.321 1
Te2 0.000 0.500 0.000 1
Mo1 0.000 0.000 0.500 1
```

V (Å³ per cell): 462.2
Raw formation energy (meV per atom): -521.7

---

10.
# Ce3Mg2InAu3

A relaxed Ce3Mg2InAu3 crystal (PBE-GGA, Alexandria via LeMat-Bulk).

The structure in CIF format:
```
data_Ce3Mg2InAu3
_cell_length_a 4.264
_cell_length_b 13.197
_cell_length_c 7.737
_cell_angle_alpha 90.00
_cell_angle_beta 90.00
_cell_angle_gamma 90.00
_space_group_name_H-M_alt 'A m m 2'
_space_group_IT_number 38
_space_group_name_Hall 'A 2 -2'
loop_
_atom_site_label
_atom_site_fract_x
_atom_site_fract_y
_atom_site_fract_z
_atom_site_occupancy
Ce1 0.000 0.000 0.000 1
Ce2 0.000 0.205 0.629 1
Mg1 0.500 0.122 0.299 1
In1 0.500 0.000 0.665 1
Au1 0.000 0.000 0.403 1
Au2 0.500 0.170 0.929 1
```

Energy of formation (eV per atom): -0.591
V (Å³ per cell): 435.3